## i
Crystalline CaZn2Tc at its relaxed geometry. Source: the Alexandria database, functional GGA-PBE.

Properties
N(E_F) ... 4.30 states/eV per cell
ρ ... 6.18 g/cm3

a = 3.377 Å, b = 3.377 Å, c = 6.335 Å
α = 90.00°, β = 90.00°, γ = 90.00°
Space group P4/mmm (No. 123)
Asymmetric unit:
Ca 0.000 0.000 0.000 [1 per cell]
Zn 0.500 0.500 0.304 [2 per cell]
Tc 0.000 0.000 0.500 [1 per cell]

## ii
Crystalline CaZn2Tc at its relaxed geometry. Source: the Alexandria database, functional GGA-PBE.

Properties
N(E_F) ... 6.69 states/eV per cell
ρ ... 6.32 g/cm3

a = 10.851 Å, b = 2.967 Å, c = 4.913 Å
α = 90.00°, β = 116.79°, γ = 90.00°
Space group Cm (No. 8)
Asymmetric unit:
Ca 0.000 0.000 0.000 [2 per cell]
Zn 0.003 0.500 0.501 [2 per cell]
Zn 0.274 0.500 0.285 [2 per cell]
Tc 0.226 0.000 0.740 [2 per cell]

In terms of stability, i leads; the second structure lies 14.9 kJ/mol of atoms higher.

## i
Crystalline CaZn2Tc at its relaxed geometry. Source: the Alexandria database, functional GGA-PBE.

Properties
N(E_F) ... 3.13 states/eV per cell
ρ ... 6.08 g/cm3

a = 2.868 Å, b = 3.531 Å, c = 7.252 Å
α = 90.00°, β = 90.00°, γ = 90.00°
Space group Pmm2 (No. 25)
Asymmetric unit:
Ca 0.000 0.000 0.000 [1 per cell]
Zn 0.000 0.000 0.481 [1 per cell]
Zn 0.500 0.500 0.679 [1 per cell]
Tc 0.500 0.500 0.294 [1 per cell]

## ii
Crystalline CaZn2Tc at its relaxed geometry. Source: the Alexandria database, functional GGA-PBE.

Properties
N(E_F) ... 3.59 states/eV per cell
ρ ... 6.36 g/cm3

a = 2.868 Å, b = 2.868 Å, c = 8.533 Å
α = 90.00°, β = 90.00°, γ = 90.00°
Space group P4mm (No. 99)
Asymmetric unit:
Ca 0.000 0.000 0.000 [1 per cell]
Zn 0.000 0.000 0.495 [1 per cell]
Zn 0.500 0.500 0.716 [1 per cell]
Tc 0.500 0.500 0.282 [1 per cell]

In terms of stability, i leads; the second structure lies 3.5 kJ/mol of atoms higher.